# In2SeBr2

In2SeBr2 after structural relaxation (GGA-PBE, the Alexandria database).

Computed properties:
Formation energy from raw total energies: -8.9 kcal/mol of atoms
D(E_F): 0.86 states/eV/f.u.

Geometry as POSCAR:
```
In2SeBr2
1.0
7.985 0.000 0.000
0.000 7.985 0.000
0.000 0.000 4.726
In Se Br
4 2 4
Direct
0.209 0.291 0.000 In
0.291 0.791 0.000 In
0.709 0.209 0.000 In
0.791 0.709 0.000 In
0.000 0.000 0.000 Se
0.500 0.500 0.000 Se
0.147 0.647 0.500 Br
0.353 0.147 0.500 Br
0.647 0.853 0.500 Br
0.853 0.353 0.500 Br
```